Entry 1:
Compound: Zr2MoAu
Source: Alexandria
Functional: PBE-GGA
Structure: optimized geometry

Lattice parameters (Å, degrees): 2.9048 2.9048 9.2305 90.00 90.00 90.00
Fractional coordinates of all 4 atoms:
Zr  0.0000  0.0000  0.0000
Zr  0.5000  0.5000  0.2817
Mo  0.5000  0.5000  0.7480
Au  0.0000  0.0000  0.5273

Results
For the formation energy, the calculation gives 0.305 eV per formula unit.

=====

Entry 2:
Compound: Pm2Dy3Pb
Source: Alexandria
Functional: PBE-GGA
Structure: optimized geometry

Lattice parameters (Å, degrees): 8.0496 8.0496 4.9496 90.00 90.00 144.63
Fractional coordinates of all 6 atoms:
Pm  0.1618  0.8382  0.0000
Pm  0.8382  0.1618  0.0000
Dy  0.0000  0.0000  0.5000
Dy  0.3332  0.6668  0.5000
Dy  0.6668  0.3332  0.5000
Pb  0.5000  0.5000  0.0000

Results
For the formation energy, the calculation gives -1.061 eV per formula unit.

=====

Entry 3:
Compound: K2BaY
Source: Alexandria
Functional: PBE-GGA
Structure: optimized geometry

Lattice parameters (Å, degrees): 7.1692 7.1692 7.1692 128.83 128.83 75.29
Fractional coordinates of all 4 atoms:
K  0.0000  0.0000  0.0000
K  0.7500  0.2500  0.5000
Ba  0.5000  0.5000  0.0000
Y  0.2500  0.7500  0.5000

Results
For the formation energy, the calculation gives 1.955 eV per formula unit.

=====

Entry 4:
Compound: LiNbSbRu
Source: Alexandria
Functional: PBE-GGA
Structure: optimized geometry

Lattice parameters (Å, degrees): 4.4888 4.4888 4.4888 60.00 60.00 60.00
Fractional coordinates of all 4 atoms:
Li  0.0000  0.0000  0.0000
Nb  0.7500  0.7500  0.7500
Sb  0.2500  0.2500  0.2500
Ru  0.5000  0.5000  0.5000

Results
For the energy relative to the elements, uncorrected, the calculation gives -240 meV per atom.

=====

Entry 5:
Compound: Sc2CuPd
Source: Alexandria
Functional: PBE-GGA
Structure: optimized geometry

Lattice parameters (Å, degrees): 4.6532 4.6532 4.6532 60.00 60.00 60.00
Fractional coordinates of all 4 atoms:
Sc  0.2500  0.2500  0.2500
Sc  0.7500  0.7500  0.7500
Cu  0.0000  0.0000  0.0000
Pd  0.5000  0.5000  0.5000

Results
For the formation energy, the calculation gives -2.375 eV per formula unit.

=====

Entry 6:
Compound: LiPaBeN3
Source: Alexandria
Functional: PBE-GGA
Structure: optimized geometry

Lattice parameters (Å, degrees): 5.4500 3.2617 7.1495 90.00 101.25 90.00
Fractional coordinates of all 12 atoms:
Li  0.0896  0.2500  0.4110
Li  0.9104  0.7500  0.5890
Pa  0.4603  0.7500  0.7381
Pa  0.5397  0.2500  0.2619
Be  0.0904  0.2500  0.9226
Be  0.9096  0.7500  0.0774
N  0.1726  0.2500  0.7061
N  0.2258  0.7500  0.0315
N  0.3415  0.7500  0.3979
N  0.6585  0.2500  0.6021
N  0.7742  0.2500  0.9685
N  0.8274  0.7500  0.2939

Results
For the energy relative to the elements, uncorrected, the calculation gives -864 meV per atom.

=====

Entry 7:
Compound: V2MoPtC
Source: Alexandria
Functional: PBE-GGA
Structure: optimized geometry

Lattice parameters (Å, degrees): 3.9949 3.9949 4.0941 90.00 90.00 90.00
Fractional coordinates of all 5 atoms:
V  0.0000  0.5000  0.0000
V  0.5000  0.0000  0.0000
Mo  0.0000  0.0000  0.5000
Pt  0.5000  0.5000  0.5000
C  0.0000  0.0000  0.0000

Results
For the formation energy, the calculation gives -1.560 eV per formula unit.

=====

Entry 8:
Compound: TbPaTe4
Source: Alexandria
Functional: PBE-GGA
Structure: optimized geometry

Lattice parameters (Å, degrees): 7.1619 4.4022 7.4935 90.00 90.66 90.00
Fractional coordinates of all 6 atoms:
Tb  0.0000  0.0000  0.0000
Pa  0.0000  0.5000  0.5000
Te  0.2423  0.5000  0.1785
Te  0.2435  0.0000  0.6589
Te  0.7565  0.0000  0.3411
Te  0.7577  0.5000  0.8215

Results
For the energy relative to the elements, uncorrected, the calculation gives -1039 meV per atom.

=====

Entry 9:
Compound: ZrMnBi2
Source: Alexandria
Functional: PBE-GGA
Structure: optimized geometry

Lattice parameters (Å, degrees): 10.4963 10.4963 10.4963 155.68 155.68 34.66
Fractional coordinates of all 8 atoms:
Zr  0.0000  0.0000  0.0000
Zr  0.7500  0.2500  0.5000
Mn  0.2500  0.7500  0.5000
Mn  0.5000  0.5000  0.0000
Bi  0.1385  0.6250  0.0135
Bi  0.3750  0.3885  0.5135
Bi  0.6115  0.1250  0.9865
Bi  0.8750  0.8615  0.4865

Results
For the formation energy, the calculation gives 2.798 eV per formula unit.

=====

Entry 10:
Compound: AlSi2Au
Source: Alexandria
Functional: PBE-GGA
Structure: optimized geometry

Lattice parameters (Å, degrees): 7.3951 7.3951 7.3951 25.90 25.90 25.90
Fractional coordinates of all 4 atoms:
Al  0.0000  0.0000  0.0000
Si  0.4938  0.4938  0.4938
Si  0.7543  0.7543  0.7543
Au  0.2480  0.2480  0.2480

Results
For the energy relative to the elements, uncorrected, the calculation gives 99 meV per atom.